[1]
{"formula": "Pm3Pr5Er3", "functional": "PBE", "state": "relaxed", "crystal_system": "hexagonal", "density_g_cm3": 6.9, "spacegroup": "P-62m", "e_form_ev_per_atom": 0.306, "lattice_angstrom": [[11.4221, 0.0000, 0.0000], [-5.7111, 9.8918, 0.0000], [0.0000, 0.0000, 3.4735]], "species": ["Pm", "Pm", "Pm", "Pr", "Pr", "Pr", "Pr", "Pr", "Er", "Er", "Er"], "fractional_positions": [[0.0000, 0.4023, 0.0000], [0.4023, 0.0000, 0.0000], [0.5977, 0.5977, 0.0000], [0.0000, 0.6633, 0.5000], [0.3333, 0.6667, 0.5000], [0.3367, 0.3367, 0.5000], [0.6633, 0.0000, 0.5000], [0.6667, 0.3333, 0.5000], [0.0000, 0.1587, 0.5000], [0.1587, 0.0000, 0.5000], [0.8413, 0.8413, 0.5000]]}

=====

[2]
{"formula": "CrSbS2", "functional": "PBE", "state": "relaxed", "crystal_system": "monoclinic", "density_g_cm3": 4.5, "spacegroup": "C2/c", "e_form_raw_kj_per_mol_atoms": -26.0, "lattice_angstrom": [[4.4440, -3.8747, 0.0000], [4.4440, 3.8747, 0.0000], [-1.7767, 0.0000, 5.0785]], "species": ["Cr", "Cr", "Sb", "Sb", "S", "S", "S", "S"], "fractional_positions": [[0.0451, 0.9549, 0.7500], [0.9549, 0.0451, 0.2500], [0.4053, 0.5947, 0.7500], [0.5947, 0.4053, 0.2500], [0.0347, 0.2883, 0.6469], [0.2883, 0.0347, 0.1469], [0.7117, 0.9653, 0.8531], [0.9653, 0.7117, 0.3531]]}

=====

[3]
{"formula": "YSi2Os", "functional": "PBE", "state": "relaxed", "crystal_system": "orthorhombic", "density_g_cm3": 7.6, "spacegroup": "Immm", "e_form_raw_kj_per_mol_atoms": -14.4, "lattice_angstrom": [[-1.5348, 2.7041, 4.4290], [1.5348, -2.7041, 4.4290], [1.5348, 2.7041, -4.4290]], "species": ["Y", "Si", "Si", "Os"], "fractional_positions": [[0.0000, 0.0000, 0.0000], [0.2873, 0.7873, 0.5000], [0.7127, 0.2127, 0.5000], [0.5000, 0.5000, 0.0000]]}

=====

[4]
{"formula": "LiRe2Mo", "functional": "PBE", "state": "relaxed", "crystal_system": "monoclinic", "polymorph_energy_mev_per_atom": 173, "density_g_cm3": 13.4, "spacegroup": "Cm", "e_form_ev_per_atom": 0.354, "lattice_angstrom": [[4.4229, -1.3354, 0.0000], [4.4229, 1.3354, 0.0000], [-0.3819, 0.0000, 4.9930]], "species": ["Li", "Re", "Re", "Mo"], "fractional_positions": [[0.0000, 0.0000, 0.0000], [0.4976, 0.4976, 0.4932], [0.7514, 0.7514, 0.2499], [0.2458, 0.2458, 0.7627]]}